1.
# LaMgCuGe2

An optimized crystal structure of LaMgCuGe2 (GGA-PBE, OQMD via LeMat-Bulk).

Cell lengths 6.353, 6.353, 6.353 Å; angles 140.79, 140.79, 56.65 degrees
Atoms (fractional coordinates):
La (0.000, 0.000, 0.000)
Mg (0.250, 0.750, 0.500)
Cu (0.750, 0.250, 0.500)
Ge (0.386, 0.386, 0.000)
Ge (0.614, 0.614, 0.000)



2.
# LaNdCu2Ge2

An optimized crystal structure of LaNdCu2Ge2 (GGA-PBE, OQMD via LeMat-Bulk).

Cell lengths 4.310, 4.310, 8.025 Å; angles 90.00, 90.00, 120.00 degrees
Atoms (fractional coordinates):
La (0.000, 0.000, 0.000)
Nd (0.000, 0.000, 0.500)
Cu (0.333, 0.667, 0.743)
Cu (0.667, 0.333, 0.257)
Ge (0.333, 0.667, 0.255)
Ge (0.667, 0.333, 0.745)



3.
# La2CuNiGe4

An optimized crystal structure of La2CuNiGe4 (GGA-PBE, OQMD via LeMat-Bulk).

Cell lengths 4.294, 8.805, 8.805 Å; angles 28.63, 90.00, 90.00 degrees
Atoms (fractional coordinates):
La (0.000, 0.000, 0.000)
La (0.500, 0.215, 0.215)
Cu (0.000, 0.783, 0.783)
Ni (0.500, 0.422, 0.422)
Ge (0.000, 0.358, 0.358)
Ge (0.000, 0.643, 0.643)
Ge (0.500, 0.561, 0.561)
Ge (0.500, 0.859, 0.859)



4.
# LaCuNiGe2

An optimized crystal structure of LaCuNiGe2 (GGA-PBE, OQMD via LeMat-Bulk).

Cell lengths 4.239, 4.239, 9.910 Å; angles 90.00, 90.00, 90.00 degrees
Atoms (fractional coordinates):
La (0.250, 0.250, 0.248)
La (0.750, 0.750, 0.752)
Cu (0.250, 0.750, 0.500)
Cu (0.750, 0.250, 0.500)
Ni (0.250, 0.250, 0.881)
Ni (0.750, 0.750, 0.119)
Ge (0.250, 0.250, 0.637)
Ge (0.250, 0.750, 0.000)
Ge (0.750, 0.250, 0.000)
Ge (0.750, 0.750, 0.363)



5.
# La3Cu2Si2Ni2Ge2

An optimized crystal structure of La3Cu2Si2Ni2Ge2 (GGA-PBE, OQMD via LeMat-Bulk).

Cell lengths 12.398, 12.398, 12.398 Å; angles 160.41, 160.35, 27.88 degrees
Atoms (fractional coordinates):
La (0.000, 0.000, 0.000)
La (0.151, 0.651, 0.500)
La (0.849, 0.349, 0.500)
Cu (0.249, 0.249, 0.000)
Cu (0.751, 0.751, 0.000)
Si (0.304, 0.804, 0.500)
Si (0.696, 0.196, 0.500)
Ni (0.401, 0.901, 0.500)
Ni (0.599, 0.099, 0.500)
Ge (0.447, 0.447, 0.000)
Ge (0.553, 0.553, 0.000)



6.
# LaCu2GeP

An optimized crystal structure of LaCu2GeP (GGA-PBE, OQMD via LeMat-Bulk).

Cell lengths 5.788, 5.788, 5.788 Å; angles 137.62, 137.62, 61.49 degrees
Atoms (fractional coordinates):
La (0.000, 0.000, 0.000)
Cu (0.254, 0.754, 0.500)
Cu (0.754, 0.254, 0.500)
Ge (0.624, 0.624, 0.000)
P (0.378, 0.378, 0.000)



no.,raw total energy (eV/cell),volume (Å³ per atom)
1,-22.06,20.323
2,-30.38,21.518
3,-43.31,19.938
4,-53.40,17.807
5,-60.88,19.524
6,-25.50,17.424